First-principles (PBE+U) data for CoTePdO after structural relaxation, as listed in the Open Quantum Materials Database.

Lattice parameters (Å, degrees): 3.6679 12.9738 5.8921 90.00 90.00 90.00
Space group Cmc2_1 (No. 36)
Symmetry-distinct sites (fractional):
Co: 0.0000 0.0050 0.0000 (multiplicity 4)
Te: 0.0000 0.3316 0.7305 (multiplicity 4)
Pd: 0.0000 0.3135 0.2279 (multiplicity 4)
O: 0.0000 0.0835 0.7410 (multiplicity 4)

## Properties
energy above the most stable polymorph in this dataset: 0.146 eV/atom
DFT total energy: -4.918 eV/atom